1.
Below is ErMgOs after structural relaxation, with properties calculated at the GGA-PBE level.

total energy = -5.811 eV/atom
energy of formation = -0.01 eV per atom
Fermi-level density of states = 2.03 states/eV/f.u.
total magnetic moment = 0.000 μB per cell

a b c (Å): 3.401 3.401 10.558
angles (deg): 90.00 90.00 90.00
Space group I4mm (No. 107)
Inequivalent atoms, fractional coordinates:
1 Er 0.000 0.000 0.000
2 Mg 0.000 0.000 0.721
3 Os 0.000 0.000 0.352

2.
Below is BaZrI2N after structural relaxation, with properties calculated at the GGA-PBE level.

offset from the most stable computed form = 1504 meV/atom
E_form (uncorrected) = 0.7040 eV per atom
total energy = -3.675 eV/atom
Fermi-level density of states = 5.56 states/eV/f.u.
total magnetic moment = 2.211 μB per cell

a b c (Å): 6.580 6.580 4.375
angles (deg): 90.00 90.00 90.00
Space group P4/mmm (No. 123)
Inequivalent atoms, fractional coordinates:
1 Ba 0.000 0.000 0.000
2 Zr 0.500 0.500 0.500
3 I 0.000 0.500 0.000
4 N 0.000 0.000 0.500

3.
Below is Er6Sc5 after structural relaxation, with properties calculated at the GGA-PBE level.

offset from the most stable computed form = 5 meV/atom
total energy = -5.226 eV/atom
energy of formation = 0.14 eV per atom
Fermi-level density of states = 19.50 states/eV/f.u.
total magnetic moment = 0.000 μB per cell

a b c (Å): 9.605 12.550 5.681
angles (deg): 90.00 114.09 90.00
Space group C2/m (No. 12)
Inequivalent atoms, fractional coordinates:
1 Er 0.188 0.000 0.125
2 Er 0.189 0.144 0.632
3 Sc 0.000 0.233 0.000
4 Sc 0.000 0.373 0.500
5 Sc 0.000 0.500 0.000

4.
Below is MgZr2Pb after structural relaxation, with properties calculated at the GGA-PBE level.

total energy = -5.571 eV/atom
energy of formation = 0.03 eV per atom
Fermi-level density of states = 4.43 states/eV/f.u.
total magnetic moment = 0.000 μB per cell

a b c (Å): 3.3022 3.3022 31.3461
angles (deg): 90.00 90.00 120.00
Space group R3m (No. 160, hexagonal axes)
Inequivalent atoms, fractional coordinates:
1 Mg 0.0000 0.0000 0.0000
2 Zr 0.0000 0.0000 0.2499
3 Zr 0.0000 0.0000 0.5047
4 Pb 0.0000 0.0000 0.7527

5.
Below is Zn2InIr2 after structural relaxation, with properties calculated at the GGA-PBE level.

total energy = -4.524 eV/atom
energy of formation = 0.08 eV per atom
Fermi-level density of states = 3.43 states/eV/f.u.
total magnetic moment = 0.000 μB per cell

a b c (Å): 3.721 3.721 12.307
angles (deg): 90.00 90.00 90.00
Space group I4/mmm (No. 139)
Inequivalent atoms, fractional coordinates:
1 Zn 0.000 0.500 0.250
2 In 0.000 0.000 0.000
3 Ir 0.000 0.000 0.394

6.
Below is KCrS3 after structural relaxation, with properties calculated at the GGA-PBE level.

offset from the most stable computed form = 0 meV/atom
E_form (uncorrected) = -0.6927 eV per atom
total energy = -5.313 eV/atom
Fermi-level density of states = 1.35 states/eV/f.u.
total magnetic moment = 5.998 μB per cell

a b c (Å): 6.246 7.716 10.472
angles (deg): 79.41 88.82 85.63
Space group P-1 (No. 2)
Inequivalent atoms, fractional coordinates:
1 K 0.012 0.181 0.343
2 K 0.448 0.769 0.951
3 Cr 0.034 0.719 0.213
4 Cr 0.470 0.380 0.662
5 S 0.071 0.122 0.979
6 S 0.169 0.226 0.625
7 S 0.232 0.462 0.824
8 S 0.279 0.495 0.225
9 S 0.320 0.876 0.249
10 S 0.421 0.662 0.540

7.
Below is TiPS3 after structural relaxation, with properties calculated at the GGA-PBE level.

offset from the most stable computed form = 0 meV/atom
E_form (uncorrected) = 0.1623 eV per atom
total energy = -4.975 eV/atom
Fermi-level density of states = 3.98 states/eV/f.u.
total magnetic moment = 1.235 μB per cell

a b c (Å): 4.685 4.685 4.685
angles (deg): 90.00 90.00 90.00
Space group Pm-3m (No. 221)
Inequivalent atoms, fractional coordinates:
1 Ti 0.000 0.000 0.000
2 P 0.500 0.500 0.500
3 S 0.000 0.000 0.500

8.
Below is Ce2TmReN5 after structural relaxation, with properties calculated at the GGA-PBE level.

E_form (uncorrected) = -0.8788 eV per atom
total energy = -8.703 eV/atom
Fermi-level density of states = 6.25 states/eV/f.u.
total magnetic moment = 0.000 μB per cell

a b c (Å): 6.599 6.599 5.818
angles (deg): 90.00 90.00 90.00
Space group P4/mbm (No. 127)
Inequivalent atoms, fractional coordinates:
1 Ce 0.170 0.330 0.000
2 Tm 0.000 0.000 0.500
3 Re 0.000 0.500 0.500
4 N 0.000 0.000 0.000
5 N 0.148 0.648 0.268